1.
Mg3BeN | PBE | optimized geometry

Properties
As for the symmetry: Pm-3m. For the total energy, the calculation gives -3.443 eV/atom. As for the density of states at the Fermi level: 0.38 states/eV/atom. The formation energy from raw total energies is -0.08 eV per atom.

Unit cell a=4.2281 b=4.2281 c=4.2281 alpha=90.00 beta=90.00 gamma=90.00
With the nearest neighbours (Å) after each atom.
Fractional positions:
1 Mg 0.0000 0.5000 0.0000  2 N 2.11
2 Mg 0.5000 0.0000 0.0000  2 N 2.11
3 Mg 0.0000 0.0000 0.5000  2 N 2.11
4 Be 0.5000 0.5000 0.5000  12 Mg 2.99
5 N 0.0000 0.0000 0.0000  6 Mg 2.11

***

2.
BeNbRe | PBE | optimized geometry

Properties
As for the symmetry: C2/c. For the total energy, the calculation gives -8.743 eV/atom. As for the density of states at the Fermi level: 0.46 states/eV/atom.

Unit cell a=5.1795 b=7.8636 c=4.8098 alpha=90.00 beta=118.42 gamma=90.00
With the nearest neighbours (Å) after each atom.
Fractional positions:
1 Re 0.2500 0.4635 0.7500  3 Nb 2.62-2.74, 2 Re 2.63, 5 Be 2.64-2.73
2 Re 0.7500 0.0365 0.7500  3 Nb 2.62-2.74, 2 Re 2.63, 5 Be 2.64-2.73
3 Re 0.7500 0.5365 0.2500  3 Nb 2.62-2.74, 2 Re 2.63, 5 Be 2.64-2.73
4 Re 0.2500 0.9635 0.2500  3 Nb 2.62-2.74, 2 Re 2.63, 5 Be 2.64-2.73
5 Nb 0.2500 0.2963 0.2500  5 Be 2.60-2.75, 3 Re 2.62-2.74, 2 Nb 2.69
6 Nb 0.2500 0.7963 0.7500  5 Be 2.60-2.75, 3 Re 2.62-2.74, 2 Nb 2.69
7 Nb 0.7500 0.7037 0.7500  5 Be 2.60-2.75, 3 Re 2.62-2.74, 2 Nb 2.69
8 Nb 0.7500 0.2037 0.2500  5 Be 2.60-2.75, 3 Re 2.62-2.74, 2 Nb 2.69
9 Be 0.7500 0.3725 0.7500  5 Nb 2.60-2.75, 5 Re 2.64-2.73
10 Be 0.2500 0.1275 0.7500  5 Nb 2.60-2.75, 5 Re 2.64-2.73
11 Be 0.2500 0.6275 0.2500  5 Nb 2.60-2.75, 5 Re 2.64-2.73
12 Be 0.7500 0.8725 0.2500  5 Nb 2.60-2.75, 5 Re 2.64-2.73

***

3.
SrCeBr5 | PBE | optimized geometry

Properties
As for the symmetry: C2/c. For the total energy, the calculation gives -4.165 eV/atom. As for the density of states at the Fermi level: 1.09 states/eV/atom. The formation energy from raw total energies is -1.88 eV per atom.

Unit cell a=7.9075 b=7.9075 c=11.0692 alpha=69.70 beta=69.70 gamma=71.01
With the nearest neighbours (Å) after each atom.
Fractional positions:
1 Br 0.7071 0.8096 0.6367  1 Ce 2.86, 1 Sr 3.02
2 Br 0.2929 0.1904 0.3633  1 Ce 2.86, 1 Sr 3.02
3 Br 0.1904 0.2929 0.8633  1 Ce 2.86, 1 Sr 3.02
4 Br 0.3446 0.7237 0.0295  1 Ce 2.92, 1 Sr 3.11
5 Br 0.6554 0.2763 0.9705  1 Ce 2.92, 1 Sr 3.11
6 Br 0.1131 0.8869 0.7500  2 Ce 2.96, 1 Sr 3.19
7 Br 0.7237 0.3446 0.5295  1 Ce 2.92, 1 Sr 3.11
8 Br 0.8869 0.1131 0.2500  2 Ce 2.96, 1 Sr 3.19
9 Br 0.8096 0.7071 0.1367  1 Ce 2.86, 1 Sr 3.02
10 Br 0.2763 0.6554 0.4705  1 Ce 2.92, 1 Sr 3.11
11 Ce 0.0000 0.0000 0.0000  6 Br 2.86-2.96
12 Ce 0.0000 0.0000 0.5000  6 Br 2.86-2.96
13 Sr 0.4599 0.5401 0.7500  5 Br 3.02-3.19
14 Sr 0.5401 0.4599 0.2500  5 Br 3.02-3.19